Density functional theory data (PBE) for a relaxed structure of TmTh4Tl4.

Energy of formation in eV/atom: 0.0147
SG: P4_2/n (86)

Lattice parameters (Å, degrees): 9.2920 9.2920 6.3023 90.00 90.00 90.00
Positions (direct):
Tm 0.2500 0.2500 0.2500
Tm 0.7500 0.7500 0.7500
Th 0.0871 0.8245 0.6086
Th 0.1755 0.5871 0.1086
Th 0.3245 0.9129 0.1086
Th 0.4129 0.6755 0.6086
Th 0.5871 0.3245 0.3914
Th 0.6755 0.0871 0.8914
Th 0.8245 0.4129 0.8914
Th 0.9129 0.1755 0.3914
Tl 0.0532 0.1418 0.8798
Tl 0.1418 0.4468 0.6202
Tl 0.3582 0.0532 0.6202
Tl 0.4468 0.3582 0.8798
Tl 0.5532 0.6418 0.1202
Tl 0.6418 0.9468 0.3798
Tl 0.8582 0.5532 0.3798
Tl 0.9468 0.8582 0.1202